VASP calculation (PBE) on a relaxed La8GaPb2 crystal.

a b c (Å): 19.9276 5.4373 7.0905
angles (deg): 90.00 107.78 90.00
Closest atoms and distances in Å follow each position.
Space group C2/m (No. 12)
Symmetry-distinct sites (fractional):
La 0.0038 0.0000 0.2709 x4  2 Ga 3.18, 3 La 3.30-3.41, 1 Pb 3.44
La 0.0874 0.5000 0.9632 x4  1 Ga 3.21, 3 La 3.41-3.56, 2 Pb 3.46
La 0.1534 0.5000 0.4905 x4  1 Ga 3.08, 3 Pb 3.35-3.42
La 0.2148 0.0000 0.8071 x4  3 Pb 3.39-3.60, 3 La 3.50-3.78
Ga 0.0000 0.5000 0.5000 x2  8 La 3.08-3.21
Pb 0.1724 0.0000 0.2360 x4  9 La 3.35-3.60

* D(E_F): 26.61 states/eV per cell
* V: 33.254 Å³ per atom
* formation enthalpy at 0 K: -7.83 kcal/mol of atoms